Hf3Zr2Ti2 | PBE | optimized geometry

Lattice parameters (Å, degrees): 4.574 3.081 10.778 90.00 77.75 90.00
Sites, in units of the cell vectors:
Hf 0.859 0.000 0.282
Hf 0.000 0.000 0.000
Hf 0.141 0.000 0.718
Zr 0.709 0.500 0.583
Zr 0.291 0.500 0.417
Ti 0.569 0.500 0.862
Ti 0.431 0.500 0.138

total DFT energy (no corrections) = -62.11 eV/f.u.
energy relative to the elements = 8.8 kJ per mole of atoms
volume = 21.20 Å³ per atom